# Y2SbF, relaxed, DFT PBE-GGA
# Formation energy without anion corrections (eV per atom): -1.388
data_Y2SbF
_chemical_formula_sum 'Y8 Sb4 F4'
_symmetry_space_group_name_H-M 'F m -3 m'
_symmetry_Int_Tables_number 225
_symmetry_space_group_name_Hall '-F 4 2 3'
_cell_length_a 7.215
_cell_length_b 7.215
_cell_length_c 7.215
_cell_angle_alpha 90.00
_cell_angle_beta 90.00
_cell_angle_gamma 90.00
loop_
_atom_site_label
_atom_site_type_symbol
_atom_site_fract_x
_atom_site_fract_y
_atom_site_fract_z
_atom_site_occupancy
Y1 Y 0.250 0.250 0.250 1
Sb1 Sb 0.000 0.000 0.000 1
F1 F 0.000 0.000 0.500 1

***

# Y3SbF, relaxed, DFT PBE-GGA
# Formation energy without anion corrections (eV per atom): -1.123
data_Y3SbF
_chemical_formula_sum 'Y3 Sb1 F1'
_symmetry_space_group_name_H-M 'P m -3 m'
_symmetry_Int_Tables_number 221
_symmetry_space_group_name_Hall '-P 4 2 3'
_cell_length_a 4.855
_cell_length_b 4.855
_cell_length_c 4.855
_cell_angle_alpha 90.00
_cell_angle_beta 90.00
_cell_angle_gamma 90.00
loop_
_atom_site_label
_atom_site_type_symbol
_atom_site_fract_x
_atom_site_fract_y
_atom_site_fract_z
_atom_site_occupancy
Y1 Y 0.000 0.000 0.500 1
Sb1 Sb 0.500 0.500 0.500 1
F1 F 0.000 0.000 0.000 1

***

# Y2SbF2, relaxed, DFT PBE-GGA
# Formation energy without anion corrections (eV per atom): -1.981
data_Y2SbF2
_chemical_formula_sum 'Y4 Sb2 F4'
_symmetry_space_group_name_H-M 'P 4/m b m'
_symmetry_Int_Tables_number 127
_symmetry_space_group_name_Hall '-P 4 2ab'
_cell_length_a 7.722
_cell_length_b 7.722
_cell_length_c 3.143
_cell_angle_alpha 90.00
_cell_angle_beta 90.00
_cell_angle_gamma 90.00
loop_
_atom_site_label
_atom_site_type_symbol
_atom_site_fract_x
_atom_site_fract_y
_atom_site_fract_z
_atom_site_occupancy
Y1 Y 0.167 0.333 0.000 1
Sb1 Sb 0.000 0.000 0.500 1
F1 F 0.108 0.608 0.500 1

***

Table of offset from the most stable computed form (kcal/mol of atoms), in record order: 6.71; 0.00; 6.25